{
  "formula": "V2Cu2O7",
  "functional": "PBEsol",
  "state": "optimized geometry",
  "lattice": [[5.520, -0.024, -0.004], [-0.096, 5.520, -0.004], [-2.350, -2.381, 9.516]],
  "species": ["V", "V", "V", "V", "Cu", "Cu", "Cu", "Cu", "O", "O", "O", "O", "O", "O", "O", "O", "O", "O", "O", "O", "O", "O"],
  "frac_coords": [[0.560, 0.999, 0.714], [0.001, 0.440, 0.786], [0.440, 0.001, 0.286], [0.999, 0.560, 0.214], [0.760, 0.616, 0.485], [0.384, 0.240, 0.015], [0.240, 0.384, 0.515], [0.616, 0.760, 0.985], [0.127, 0.873, 0.250], [0.873, 0.127, 0.750], [0.627, 0.815, 0.362], [0.185, 0.373, 0.138], [0.373, 0.185, 0.638], [0.815, 0.627, 0.862], [0.534, 0.712, 0.602], [0.288, 0.466, 0.898], [0.466, 0.288, 0.398], [0.712, 0.534, 0.102], [0.515, 0.010, 0.127], [0.990, 0.485, 0.373], [0.485, 0.990, 0.873], [0.010, 0.515, 0.627]],
  "spacegroup": "C2/c",
  "e_above_lowest_polymorph_mev_per_atom": 0,
  "e_form_raw_ev_per_atom": -1.652
}

***

{
  "formula": "VCuO3",
  "functional": "PBEsol",
  "state": "optimized geometry",
  "lattice": [[4.905, 0.000, 0.000], [2.453, 4.248, 0.000], [2.453, 1.416, 4.645]],
  "species": ["V", "V", "Cu", "Cu", "O", "O", "O", "O", "O", "O"],
  "frac_coords": [[0.354, 0.354, 0.937], [0.646, 0.646, 0.063], [0.142, 0.142, 0.574], [0.858, 0.858, 0.426], [0.446, 0.067, 0.769], [0.718, 0.446, 0.769], [0.067, 0.718, 0.769], [0.554, 0.933, 0.231], [0.933, 0.282, 0.231], [0.282, 0.554, 0.231]],
  "spacegroup": "R-3",
  "e_form_raw_ev_per_atom": -1.743
}

***

{
  "formula": "V2Cu2O7",
  "functional": "PBEsol",
  "state": "optimized geometry",
  "lattice": [[-3.728, 2.801, 1.861], [-2.987, -4.943, -0.405], [4.488, -1.520, 8.087]],
  "species": ["V", "V", "V", "V", "Cu", "Cu", "Cu", "Cu", "O", "O", "O", "O", "O", "O", "O", "O", "O", "O", "O", "O", "O", "O"],
  "frac_coords": [[0.709, 0.266, 0.303], [0.291, 0.734, 0.697], [0.838, 0.331, 0.780], [0.162, 0.669, 0.220], [0.719, 0.854, 0.996], [0.281, 0.146, 0.004], [0.734, 0.851, 0.487], [0.266, 0.149, 0.513], [0.416, 0.824, 0.351], [0.737, 0.552, 0.890], [0.955, 0.132, 0.879], [0.090, 0.899, 0.603], [0.438, 0.314, 0.384], [0.910, 0.101, 0.397], [0.614, 0.122, 0.121], [0.045, 0.868, 0.121], [0.584, 0.176, 0.649], [0.106, 0.451, 0.689], [0.562, 0.686, 0.616], [0.894, 0.549, 0.311], [0.263, 0.448, 0.110], [0.386, 0.878, 0.879]],
  "spacegroup": "P-1",
  "e_above_lowest_polymorph_mev_per_atom": 7,
  "e_form_raw_ev_per_atom": -1.645
}

***

{
  "formula": "V2Cu2O7",
  "functional": "PBEsol",
  "state": "optimized geometry",
  "lattice": [[5.374, 0.029, 0.000], [-1.669, 5.109, 0.000], [-1.853, -2.569, 10.167]],
  "species": ["V", "V", "V", "V", "Cu", "Cu", "Cu", "Cu", "O", "O", "O", "O", "O", "O", "O", "O", "O", "O", "O", "O", "O", "O"],
  "frac_coords": [[0.413, 0.218, 0.600], [0.618, 0.812, 0.400], [0.468, 0.163, 0.100], [0.062, 0.368, 0.900], [0.961, 0.699, 0.672], [0.028, 0.289, 0.328], [0.949, 0.711, 0.172], [0.539, 0.778, 0.828], [0.600, 0.100, 0.500], [0.350, 0.350, 0.000], [0.282, 0.977, 0.677], [0.300, 0.605, 0.323], [0.227, 0.032, 0.177], [0.855, 0.050, 0.823], [0.634, 0.515, 0.717], [0.798, 0.918, 0.283], [0.922, 0.526, 0.999], [0.527, 0.922, 0.001], [0.776, 0.672, 0.499], [0.172, 0.277, 0.501], [0.168, 0.548, 0.783], [0.765, 0.384, 0.217]],
  "spacegroup": "Fdd2",
  "e_above_lowest_polymorph_mev_per_atom": 5,
  "e_form_raw_ev_per_atom": -1.646
}

***

{
  "formula": "VCuO3",
  "functional": "PBEsol",
  "state": "optimized geometry",
  "lattice": [[0.053, 3.148, -0.120], [-2.777, 0.184, 3.593], [2.902, 1.694, 4.410]],
  "species": ["Cu", "O", "O", "O", "V"],
  "frac_coords": [[0.603, 0.041, 0.447], [0.152, 0.827, 0.348], [0.418, 0.927, 0.816], [0.749, 0.437, 0.154], [0.270, 0.653, 0.113]],
  "spacegroup": "Cm",
  "e_form_raw_ev_per_atom": -1.695
}

***

{
  "formula": "V2ZnCuO7",
  "functional": "PBEsol",
  "state": "optimized geometry",
  "lattice": [[8.228, 0.000, 0.000], [0.000, 10.087, -0.231], [0.000, -0.932, 10.056]],
  "species": ["V", "V", "V", "V", "V", "V", "V", "V", "V", "V", "V", "V", "Zn", "Zn", "Zn", "Zn", "Zn", "Zn", "Cu", "Cu", "Cu", "Cu", "Cu", "Cu", "O", "O", "O", "O", "O", "O", "O", "O", "O", "O", "O", "O", "O", "O", "O", "O", "O", "O", "O", "O", "O", "O", "O", "O", "O", "O", "O", "O", "O", "O", "O", "O", "O", "O", "O", "O", "O", "O", "O", "O", "O", "O"],
  "frac_coords": [[0.771, 0.289, 0.169], [0.250, 0.377, 0.167], [0.750, 0.877, 0.167], [0.229, 0.789, 0.169], [0.731, 0.956, 0.507], [0.250, 0.123, 0.833], [0.269, 0.456, 0.507], [0.750, 0.623, 0.833], [0.731, 0.544, 0.493], [0.269, 0.044, 0.493], [0.229, 0.711, 0.831], [0.771, 0.211, 0.831], [0.569, 0.579, 0.130], [0.066, 0.750, 0.500], [0.569, 0.921, 0.870], [0.934, 0.250, 0.500], [0.431, 0.421, 0.870], [0.431, 0.079, 0.130], [0.073, 0.412, 0.795], [0.927, 0.588, 0.205], [0.570, 0.250, 0.500], [0.073, 0.088, 0.205], [0.430, 0.750, 0.500], [0.927, 0.912, 0.795], [0.254, 0.963, 0.198], [0.233, 0.294, 0.858], [0.178, 0.750, 0.000], [0.094, 0.109, 0.443], [0.594, 0.567, 0.925], [0.080, 0.725, 0.262], [0.705, 0.916, 0.336], [0.906, 0.609, 0.443], [0.259, 0.870, 0.467], [0.594, 0.933, 0.075], [0.259, 0.630, 0.533], [0.571, 0.886, 0.577], [0.076, 0.046, 0.860], [0.920, 0.225, 0.262], [0.295, 0.084, 0.664], [0.705, 0.584, 0.664], [0.080, 0.775, 0.738], [0.406, 0.433, 0.075], [0.746, 0.463, 0.198], [0.429, 0.114, 0.423], [0.594, 0.286, 0.808], [0.741, 0.130, 0.533], [0.924, 0.546, 0.860], [0.741, 0.370, 0.467], [0.094, 0.391, 0.557], [0.429, 0.386, 0.577], [0.906, 0.891, 0.557], [0.406, 0.786, 0.808], [0.406, 0.714, 0.192], [0.924, 0.954, 0.140], [0.920, 0.275, 0.738], [0.254, 0.537, 0.802], [0.822, 0.250, 0.000], [0.767, 0.794, 0.858], [0.406, 0.067, 0.925], [0.076, 0.454, 0.140], [0.746, 0.037, 0.802], [0.233, 0.206, 0.142], [0.571, 0.614, 0.423], [0.295, 0.416, 0.336], [0.767, 0.706, 0.142], [0.594, 0.214, 0.192]],
  "spacegroup": "P2/c",
  "e_above_lowest_polymorph_mev_per_atom": 15,
  "e_form_raw_ev_per_atom": -1.822
}

***

{
  "formula": "V2ZnCuO7",
  "functional": "PBEsol",
  "state": "optimized geometry",
  "lattice": [[-5.300, 1.301, -0.985], [0.997, -1.299, -5.298], [-0.557, -8.955, 4.586]],
  "species": ["V", "V", "V", "V", "Zn", "Zn", "Cu", "Cu", "O", "O", "O", "O", "O", "O", "O", "O", "O", "O", "O", "O", "O", "O"],
  "frac_coords": [[0.494, 0.954, 0.536], [0.046, 0.506, 0.464], [0.499, 0.027, 0.958], [0.973, 0.501, 0.042], [0.909, 0.769, 0.772], [0.231, 0.091, 0.228], [0.120, 0.272, 0.737], [0.728, 0.880, 0.263], [0.779, 0.995, 0.650], [0.005, 0.221, 0.350], [0.205, 0.038, 0.853], [0.962, 0.795, 0.147], [0.505, 0.020, 0.375], [0.980, 0.495, 0.625], [0.479, 0.951, 0.111], [0.049, 0.521, 0.889], [0.361, 0.639, 0.500], [0.678, 0.322, 0.000], [0.309, 0.139, 0.610], [0.861, 0.691, 0.390], [0.642, 0.815, 0.869], [0.185, 0.358, 0.131]],
  "spacegroup": "C2",
  "e_above_lowest_polymorph_mev_per_atom": 0,
  "e_form_raw_ev_per_atom": -1.838
}

***

{
  "formula": "Cu2WO4",
  "functional": "PBEsol",
  "state": "optimized geometry",
  "lattice": [[-0.145, -0.206, -5.829], [1.578, -7.595, 0.662], [-7.966, 1.342, 0.895]],
  "species": ["Cu", "Cu", "Cu", "Cu", "Cu", "Cu", "Cu", "Cu", "W", "W", "W", "W", "O", "O", "O", "O", "O", "O", "O", "O", "O", "O", "O", "O", "O", "O", "O", "O"],
  "frac_coords": [[0.216, 0.696, 0.894], [0.784, 0.304, 0.106], [0.130, 0.367, 0.553], [0.000, 0.000, 0.000], [0.861, 0.756, 0.167], [0.870, 0.633, 0.447], [0.139, 0.244, 0.833], [0.000, 0.000, 0.500], [0.506, 0.927, 0.679], [0.652, 0.366, 0.729], [0.494, 0.073, 0.321], [0.348, 0.634, 0.271], [0.271, 0.818, 0.743], [0.489, 0.444, 0.152], [0.511, 0.556, 0.848], [0.569, 0.823, 0.213], [0.431, 0.177, 0.787], [0.729, 0.182, 0.257], [0.866, 0.467, 0.631], [0.420, 0.293, 0.509], [0.252, 0.064, 0.166], [0.748, 0.936, 0.834], [0.133, 0.662, 0.098], [0.134, 0.533, 0.369], [0.708, 0.079, 0.553], [0.867, 0.338, 0.902], [0.580, 0.707, 0.491], [0.292, 0.921, 0.447]],
  "spacegroup": "P-1",
  "e_form_raw_ev_per_atom": -1.315
}

***

{
  "formula": "CuWO2",
  "functional": "PBEsol",
  "state": "optimized geometry",
  "lattice": [[3.744, 0.000, 0.000], [1.872, 3.242, 0.000], [1.872, 1.081, 3.057]],
  "species": ["O", "O", "Cu", "W"],
  "frac_coords": [[0.250, 0.250, 0.250], [0.750, 0.750, 0.750], [0.000, 0.000, 0.000], [0.500, 0.500, 0.500]],
  "spacegroup": "Fm-3m",
  "e_above_lowest_polymorph_mev_per_atom": 885,
  "e_form_raw_ev_per_atom": -0.242
}

***

{
  "formula": "CuWO2",
  "functional": "PBEsol",
  "state": "optimized geometry",
  "lattice": [[2.760, 0.000, 0.000], [1.380, 2.391, 0.000], [1.380, 0.797, 6.487]],
  "species": ["O", "O", "Cu", "W"],
  "frac_coords": [[0.904, 0.904, 0.288], [0.096, 0.096, 0.712], [0.000, 0.000, 0.000], [0.500, 0.500, 0.500]],
  "spacegroup": "R-3m",
  "e_above_lowest_polymorph_mev_per_atom": 0,
  "e_form_raw_ev_per_atom": -1.127
}

***

{
  "formula": "Y2Cu3W6O24",
  "functional": "PBEsol",
  "state": "optimized geometry",
  "lattice": [[5.984, -0.018, 0.030], [-2.015, 5.671, -0.029], [-0.280, -2.413, 13.224]],
  "species": ["Y", "Y", "Cu", "Cu", "Cu", "W", "W", "W", "W", "W", "W", "O", "O", "O", "O", "O", "O", "O", "O", "O", "O", "O", "O", "O", "O", "O", "O", "O", "O", "O", "O", "O", "O", "O", "O"],
  "frac_coords": [[0.653, 0.025, 0.337], [0.347, 0.975, 0.663], [0.500, 0.500, 0.500], [0.823, 0.435, 0.145], [0.177, 0.565, 0.855], [0.262, 0.331, 0.251], [0.577, 0.326, 0.922], [0.938, 0.318, 0.588], [0.062, 0.682, 0.412], [0.423, 0.674, 0.078], [0.738, 0.669, 0.749], [0.776, 0.055, 0.498], [0.131, 0.041, 0.187], [0.448, 0.061, 0.826], [0.430, 0.283, 0.361], [0.740, 0.243, 0.013], [0.111, 0.213, 0.664], [0.812, 0.516, 0.490], [0.149, 0.506, 0.154], [0.468, 0.533, 0.822], [0.343, 0.695, 0.345], [0.690, 0.671, 0.016], [0.029, 0.657, 0.685], [0.889, 0.787, 0.336], [0.260, 0.757, 0.987], [0.570, 0.717, 0.639], [0.224, 0.945, 0.502], [0.552, 0.939, 0.174], [0.869, 0.959, 0.813], [0.188, 0.484, 0.510], [0.532, 0.467, 0.178], [0.851, 0.494, 0.846], [0.971, 0.343, 0.315], [0.310, 0.329, 0.984], [0.657, 0.305, 0.655]],
  "spacegroup": "P-1",
  "e_above_lowest_polymorph_mev_per_atom": 30,
  "e_form_raw_ev_per_atom": -2.017
}

***

{
  "formula": "Y2Cu3W6O24",
  "functional": "PBEsol",
  "state": "optimized geometry",
  "lattice": [[5.828, 0.000, 0.000], [0.000, 9.660, 0.074], [0.000, -0.858, 14.891]],
  "species": ["Y", "Y", "Y", "Y", "Cu", "Cu", "Cu", "Cu", "Cu", "Cu", "W", "W", "W", "W", "W", "W", "W", "W", "W", "W", "W", "W", "O", "O", "O", "O", "O", "O", "O", "O", "O", "O", "O", "O", "O", "O", "O", "O", "O", "O", "O", "O", "O", "O", "O", "O", "O", "O", "O", "O", "O", "O", "O", "O", "O", "O", "O", "O", "O", "O", "O", "O", "O", "O", "O", "O", "O", "O", "O", "O"],
  "frac_coords": [[0.328, 0.249, 0.412], [0.328, 0.251, 0.088], [0.672, 0.751, 0.588], [0.672, 0.749, 0.912], [0.683, 0.248, 0.581], [0.683, 0.252, 0.919], [0.722, 0.250, 0.250], [0.317, 0.752, 0.419], [0.278, 0.750, 0.750], [0.317, 0.748, 0.081], [0.828, 0.503, 0.414], [0.833, 0.483, 0.749], [0.817, 0.505, 0.085], [0.817, 0.995, 0.415], [0.833, 0.017, 0.751], [0.828, 0.997, 0.086], [0.172, 0.497, 0.586], [0.183, 0.495, 0.915], [0.167, 0.517, 0.251], [0.183, 0.005, 0.585], [0.172, 0.003, 0.914], [0.167, 0.983, 0.249], [0.647, 0.137, 0.471], [0.663, 0.142, 0.812], [0.654, 0.140, 0.140], [0.654, 0.360, 0.360], [0.663, 0.358, 0.688], [0.647, 0.363, 0.029], [0.353, 0.863, 0.529], [0.346, 0.860, 0.860], [0.337, 0.858, 0.188], [0.346, 0.640, 0.640], [0.353, 0.637, 0.971], [0.337, 0.642, 0.312], [0.089, 0.609, 0.481], [0.103, 0.602, 0.813], [0.091, 0.609, 0.145], [0.091, 0.891, 0.355], [0.103, 0.898, 0.687], [0.089, 0.891, 0.019], [0.911, 0.391, 0.519], [0.909, 0.391, 0.855], [0.897, 0.398, 0.187], [0.909, 0.109, 0.645], [0.911, 0.109, 0.981], [0.897, 0.102, 0.313], [0.402, 0.118, 0.623], [0.389, 0.113, 0.966], [0.377, 0.108, 0.293], [0.389, 0.387, 0.534], [0.402, 0.382, 0.877], [0.377, 0.392, 0.207], [0.598, 0.882, 0.377], [0.623, 0.892, 0.707], [0.611, 0.887, 0.034], [0.611, 0.613, 0.466], [0.623, 0.608, 0.793], [0.598, 0.618, 0.123], [0.110, 0.102, 0.481], [0.114, 0.103, 0.816], [0.108, 0.102, 0.149], [0.890, 0.898, 0.519], [0.892, 0.898, 0.851], [0.886, 0.897, 0.184], [0.108, 0.398, 0.351], [0.114, 0.397, 0.684], [0.110, 0.398, 0.019], [0.892, 0.602, 0.649], [0.890, 0.602, 0.981], [0.886, 0.603, 0.316]],
  "spacegroup": "P2/c",
  "e_above_lowest_polymorph_mev_per_atom": 0,
  "e_form_raw_ev_per_atom": -2.047
}